A relaxed V2AuF crystal. Source: the Alexandria database, functional PBE+U.

Calculated values
Final energy, eV per atom: -4.974
SG: I-42d
Energy above the lowest structure with this stoichiometry, meV per atom: 0.0
Total magnetic moment, μB/atom: 1.60
Fermi-level density of states, states/eV/atom: 0.584

Cell lengths 5.197, 5.197, 7.157 Å; angles 68.71, 68.71, 90.00 degrees
Element x y z (fractional)
1 V 0.875 0.768 0.750
2 V 0.518 0.125 0.250
3 V 0.232 0.625 0.250
4 V 0.375 0.482 0.750
5 Au 0.750 0.250 0.500
6 Au 0.000 0.000 0.000
7 F 0.250 0.750 0.500
8 F 0.500 0.500 0.000